Entry 1:
The following is a DFT calculation (PBE) of a geometry-optimized Ce3AlSi4 structure.

The calculation puts the uncorrected formation energy at -0.466 eV per atom.

It has space group Immm (No. 71), with a = 4.305 Å, b = 5.922 Å, c = 14.640 Å, α = 90.00°, β = 90.00° and γ = 90.00°. The distinct sites, in fractional coordinates, are Ce at (0.000, 0.000, 0.000), Ce at (0.000, 0.500, 0.187), Al at (0.000, 0.000, 0.500) and Si at (0.000, 0.300, 0.375).

=====

Entry 2:
The following is a DFT calculation (PBE) of a geometry-optimized Tl2SCl2 structure.

The calculation puts the uncorrected formation energy at -0.171 eV per atom.

It has space group P4/mmm (No. 123), with a = 5.743 Å, b = 5.743 Å, c = 13.361 Å, α = 90.00°, β = 90.00° and γ = 90.00°. The distinct sites, in fractional coordinates, are Tl at (0.000, 0.000, 0.187), S at (0.000, 0.000, 0.000) and Cl at (0.000, 0.000, 0.371).

=====

Entry 3:
The following is a DFT calculation (PBE) of a geometry-optimized Ce6In3H structure.

Its total energy is -4.989 eV per atom.

It has space group Cmcm (No. 63), with a = 14.980 Å, b = 14.580 Å, c = 4.491 Å, α = 90.00°, β = 90.00° and γ = 90.00°. The distinct sites, in fractional coordinates, are Ce at (0.000, 0.064, 0.250), Ce at (0.000, 0.246, 0.750), Ce at (0.167, 0.276, 0.250), Ce at (0.170, 0.407, 0.750), In at (0.000, 0.428, 0.250), In at (0.165, 0.086, 0.750) and H at (0.000, 0.222, 0.250).

=====

Entry 4:
The following is a DFT calculation (PBE) of a geometry-optimized PrGdMg2 structure.

Its formation enthalpy at 0 K is -0.111 eV/atom. As for the polymorph energy (0 for the lowest one): 0.0 meV per atom.

It has space group Fm-3m (No. 225), with a = 7.731 Å, b = 7.731 Å, c = 7.731 Å, α = 90.00°, β = 90.00° and γ = 90.00°. The distinct sites, in fractional coordinates, are Pr at (0.000, 0.000, 0.000), Gd at (0.000, 0.000, 0.500) and Mg at (0.250, 0.250, 0.250).

=====

Entry 5:
The following is a DFT calculation (PBE) of a geometry-optimized Ac7Tb2Dy structure.

Its formation enthalpy at 0 K is 0.629 eV/atom.

It has space group Cmmm (No. 65), with a = 10.144 Å, b = 16.432 Å, c = 6.076 Å, α = 90.00°, β = 90.00° and γ = 90.00°. The distinct sites, in fractional coordinates, are Ac at (0.000, 0.000, 0.000), Ac at (0.000, 0.259, 0.500), Ac at (0.185, 0.377, 0.000), Tb at (0.000, 0.201, 0.000) and Dy at (0.000, 0.500, 0.500).

=====

Entry 6:
The following is a DFT calculation (PBE) of a geometry-optimized Ba2AcBr structure.

The calculation puts the uncorrected formation energy at -0.531 eV per atom. As for the polymorph energy (0 for the lowest one): 117.7 meV per atom.

It has space group R-3m (No. 166, hexagonal axes), with a = 4.1254 Å, b = 4.1254 Å, c = 38.3964 Å, α = 90.00°, β = 90.00° and γ = 120.00°. The distinct sites, in fractional coordinates, are Ba at (0.0000, 0.0000, 0.1036), Ac at (0.0000, 0.0000, 0.0000) and Br at (0.0000, 0.0000, 0.5000).

=====

Entry 7:
The following is a DFT calculation (PBE) of a geometry-optimized Li4Zn4Au3 structure.

Its formation enthalpy at 0 K is -0.350 eV/atom.

It has space group P-1 (No. 2), with a = 2.821 Å, b = 4.372 Å, c = 14.156 Å, α = 81.35°, β = 84.51° and γ = 89.65°. The distinct sites, in fractional coordinates, are Li at (0.075, 0.053, 0.395), Li at (0.194, 0.678, 0.146), Zn at (0.232, 0.235, 0.032), Zn at (0.377, 0.406, 0.685), Au at (0.341, 0.853, 0.792) and Au at (0.500, 0.500, 0.500).

=====

Entry 8:
The following is a DFT calculation (PBE) of a geometry-optimized ZrTlCu structure.

Its formation enthalpy at 0 K is 0.042 eV/atom.

It has space group I4mm (No. 107), with a = 3.227 Å, b = 3.227 Å, c = 11.436 Å, α = 90.00°, β = 90.00° and γ = 90.00°. The distinct sites, in fractional coordinates, are Zr at (0.000, 0.000, 0.000), Tl at (0.000, 0.000, 0.298) and Cu at (0.000, 0.000, 0.642).

=====

Please write out number 5 again, unchanged.
The following is a DFT calculation (PBE) of a geometry-optimized Ac7Tb2Dy structure.

Its formation enthalpy at 0 K is 0.629 eV/atom.

It has space group Cmmm (No. 65), with a = 10.144 Å, b = 16.432 Å, c = 6.076 Å, α = 90.00°, β = 90.00° and γ = 90.00°. The distinct sites, in fractional coordinates, are Ac at (0.000, 0.000, 0.000), Ac at (0.000, 0.259, 0.500), Ac at (0.185, 0.377, 0.000), Tb at (0.000, 0.201, 0.000) and Dy at (0.000, 0.500, 0.500).